Entry 1:
Tb2Ho2Zn3 | PBE | optimized geometry

Summary:
- calculated formation energy (eV/atom) = -0.1991
- uncorrected energy (eV/atom) = -3.376

a b c (Å): 4.995 5.005 8.579
angles (deg): 89.97 106.82 120.14
Fractional coordinates of all 7 atoms:
Tb 0.256 0.127 0.381
Tb 0.744 0.873 0.619
Ho 0.757 0.378 0.134
Ho 0.243 0.622 0.866
Zn 0.000 0.000 0.000
Zn 0.504 0.252 0.759
Zn 0.496 0.748 0.241



Entry 2:
BaAg2Sb2 | PBE | optimized geometry

Summary:
- uncorrected energy (eV/atom) = -3.432
- formation energy (no corrections) (eV/atom) = -0.258

a b c (Å): 8.755 8.755 3.463
angles (deg): 90.00 90.00 90.00
Fractional coordinates of all 10 atoms:
Sb 0.179 0.679 0.500
Sb 0.679 0.821 0.500
Sb 0.821 0.321 0.500
Sb 0.321 0.179 0.500
Ba 0.000 0.000 0.000
Ba 0.500 0.500 0.000
Ag 0.385 0.885 0.000
Ag 0.885 0.615 0.000
Ag 0.615 0.115 0.000
Ag 0.115 0.385 0.000



Entry 3:
Li2CaAs | PBE | optimized geometry

Summary:
- calculated formation energy (eV/atom) = -0.5775
- uncorrected energy (eV/atom) = -3.197

a b c (Å): 4.148 4.093 5.878
angles (deg): 69.85 90.00 90.00
Fractional coordinates of all 4 atoms:
As 0.000 0.323 0.479
Ca 0.500 0.744 0.640
Li 0.000 0.985 0.154
Li 0.500 0.448 0.228



Entry 4:
CaTl2AsS | PBE | optimized geometry

Summary:
- uncorrected energy (eV/atom) = -2.539
- formation energy (no corrections) (eV/atom) = 0.563

a b c (Å): 6.136 5.235 6.136
angles (deg): 90.00 90.00 90.00
Each line ends with the local moment (μB).
Fractional coordinates of all 5 atoms:
S 0.500 0.500 0.500  0.45
Tl 0.000 0.000 0.500  -0.02
Tl 0.500 0.000 0.000  -0.03
Ca 0.000 0.000 0.000  -0.02
As 0.000 0.500 0.000  0.19



Entry 5:
MgIn2Ir | PBE | optimized geometry

Summary:
- calculated formation energy (eV/atom) = -0.1467
- uncorrected energy (eV/atom) = -4.130

a b c (Å): 6.954 6.954 4.573
angles (deg): 70.85 70.85 24.95
Fractional coordinates of all 4 atoms:
In 0.005 0.005 0.995
In 0.811 0.811 0.689
Ir 0.502 0.502 0.498
Mg 0.182 0.182 0.318



Entry 6:
U2TiPt9 | PBE | optimized geometry

Summary:
- calculated formation energy (eV/atom) = -0.7449
- uncorrected energy (eV/atom) = -7.815

a b c (Å): 4.099 4.099 12.255
angles (deg): 90.00 90.00 90.00
Each line ends with the local moment (μB).
Fractional coordinates of all 12 atoms:
U 0.000 0.000 0.327  1.89
U 0.000 0.000 0.673  1.89
Ti 0.000 0.000 0.000  0.19
Pt 0.500 0.500 0.000  -0.02
Pt 0.500 0.500 0.327  0.01
Pt 0.500 0.500 0.673  0.01
Pt 0.500 0.000 0.154  -0.01
Pt 0.500 0.000 0.500  0.00
Pt 0.500 0.000 0.846  -0.01
Pt 0.000 0.500 0.154  -0.01
Pt 0.000 0.500 0.500  0.00
Pt 0.000 0.500 0.846  -0.01



Entry 7:
CeDyPa | PBE | optimized geometry

Summary:
- calculated formation energy (eV/atom) = 0.4783
- offset from the most stable computed form (meV/atom) = 355
- uncorrected energy (eV/atom) = -6.199

a b c (Å): 3.176 5.252 5.695
angles (deg): 90.00 90.00 90.00
Fractional coordinates of all 3 atoms:
Ce 0.000 0.500 0.500
Pa 0.500 0.000 0.500
Dy 0.000 0.000 0.000



Entry 8:
Dy12Y5Tm | PBE | optimized geometry

Summary:
- calculated formation energy (eV/atom) = 0.0213
- uncorrected energy (eV/atom) = -5.091

a b c (Å): 15.035 10.638 5.014
angles (deg): 90.00 90.00 45.08
Fractional coordinates of all 18 atoms:
Dy 0.833 0.000 0.500
Dy 0.167 0.000 0.500
Dy 0.668 0.000 0.000
Dy 0.332 0.000 0.000
Dy 0.333 0.668 0.000
Dy 0.999 0.668 0.000
Dy 0.001 0.332 0.000
Dy 0.667 0.332 0.000
Dy 0.501 0.334 0.500
Dy 0.835 0.666 0.500
Dy 0.165 0.334 0.500
Dy 0.499 0.666 0.500
Y 0.500 0.000 0.500
Y 0.166 0.668 0.500
Y 0.834 0.332 0.500
Y 0.667 0.667 0.000
Y 0.333 0.333 0.000
Tm 0.000 0.000 0.000